# NaSrLiCa PBE-GGA relaxed
# Total DFT energy (no corrections) in eV/atom: -1.6931
# Calculated volume in Å³/atom: 38.26
# DFT formation energy in eV per atom: 0.036
# SG: P4mm
data_NaSrLiCa
_chemical_formula_sum 'Na1 Sr1 Li1 Ca1'
_space_group_name_H-M_alt 'P 1'
_space_group_IT_number 1
_space_group_name_Hall 'P 1'
_cell_length_a 4.175
_cell_length_b 4.175
_cell_length_c 8.782
_cell_angle_alpha 90.00
_cell_angle_beta 90.00
_cell_angle_gamma 90.00
loop_
_atom_site_label
_atom_site_type_symbol
_atom_site_fract_x
_atom_site_fract_y
_atom_site_fract_z
Na1 Na 0.000 0.000 0.000
Sr1 Sr 0.500 0.500 0.708
Li1 Li 0.000 0.000 0.462
Ca1 Ca 0.500 0.500 0.258

***

# LiSmDy2 PBE-GGA relaxed
# Energy above the most stable polymorph in this dataset in kJ/mol of formula units: 46
# Total DFT energy (no corrections) in eV/atom: -3.7643
# Calculated volume in Å³/atom: 31.95
# DFT formation energy in eV per atom: 0.195
# SG: R-3m
data_LiSmDy2
_chemical_formula_sum 'Li3 Sm3 Dy6'
_space_group_name_H-M_alt 'P 1'
_space_group_IT_number 1
_space_group_name_Hall 'P 1'
_cell_length_a 3.476
_cell_length_b 3.476
_cell_length_c 36.626
_cell_angle_alpha 90.00
_cell_angle_beta 90.00
_cell_angle_gamma 120.00
loop_
_atom_site_label
_atom_site_type_symbol
_atom_site_fract_x
_atom_site_fract_y
_atom_site_fract_z
Li1 Li 0.000 0.000 0.000
Li2 Li 0.333 0.667 0.667
Li3 Li 0.667 0.333 0.333
Sm1 Sm 0.000 0.000 0.500
Sm2 Sm 0.333 0.667 0.167
Sm3 Sm 0.667 0.333 0.833
Dy1 Dy 0.000 0.000 0.088
Dy2 Dy 0.000 0.000 0.912
Dy3 Dy 0.333 0.667 0.578
Dy4 Dy 0.333 0.667 0.755
Dy5 Dy 0.667 0.333 0.245
Dy6 Dy 0.667 0.333 0.422

***

# CsAg2PtW PBE-GGA relaxed
# Total DFT energy (no corrections) in eV/atom: -2.5046
# Calculated volume in Å³/atom: 33.06
# DFT formation energy in eV per atom: 2.605
# SG: P4/mmm
data_CsAg2PtW
_chemical_formula_sum 'Cs1 Ag2 Pt1 W1'
_space_group_name_H-M_alt 'P 1'
_space_group_IT_number 1
_space_group_name_Hall 'P 1'
_cell_length_a 5.625
_cell_length_b 5.625
_cell_length_c 5.225
_cell_angle_alpha 90.00
_cell_angle_beta 90.00
_cell_angle_gamma 90.00
loop_
_atom_site_label
_atom_site_type_symbol
_atom_site_fract_x
_atom_site_fract_y
_atom_site_fract_z
Cs1 Cs 0.000 0.000 0.000
Ag1 Ag 0.000 0.500 0.000
Ag2 Ag 0.500 0.000 0.000
Pt1 Pt 0.000 0.000 0.500
W1 W 0.500 0.500 0.500

***

# LaPr3Al4O12 PBE-GGA relaxed
# Total DFT energy (no corrections) in eV/atom: -7.9434
# Raw formation energy in eV/atom: -3.2567
# Calculated volume in Å³/atom: 11.03
# SG: R32
data_LaPr3Al4O12
_chemical_formula_sum 'La1 Pr3 Al4 O12'
_space_group_name_H-M_alt 'P 1'
_space_group_IT_number 1
_space_group_name_Hall 'P 1'
_cell_length_a 9.274
_cell_length_b 9.274
_cell_length_c 9.274
_cell_angle_alpha 33.85
_cell_angle_beta 33.85
_cell_angle_gamma 33.85
loop_
_atom_site_label
_atom_site_type_symbol
_atom_site_fract_x
_atom_site_fract_y
_atom_site_fract_z
La1 La 0.000 0.000 0.000
Pr1 Pr 0.250 0.250 0.250
Pr2 Pr 0.500 0.500 0.500
Pr3 Pr 0.750 0.750 0.750
Al1 Al 0.125 0.125 0.125
Al2 Al 0.375 0.375 0.375
Al3 Al 0.625 0.625 0.625
Al4 Al 0.875 0.875 0.875
O1 O 0.000 0.457 0.543
O2 O 0.047 0.500 0.953
O3 O 0.204 0.749 0.297
O4 O 0.251 0.796 0.703
O5 O 0.297 0.204 0.749
O6 O 0.457 0.543 0.000
O7 O 0.500 0.953 0.047
O8 O 0.543 0.000 0.457
O9 O 0.703 0.251 0.796
O10 O 0.749 0.297 0.204
O11 O 0.796 0.703 0.251
O12 O 0.953 0.047 0.500

***

Respective density values: 1.7; 6.3; 7.3; 6.5 Mg/m³.